Below is a relaxed structure of Rb2PmAs2S6, with properties calculated at the PBE level.

Cell and atoms, written as CIF:
```
data_Rb2PmAs2S6
_chemical_formula_sum 'Rb4 Pm2 As4 S12'
_cell_length_a 12.211
_cell_length_b 7.211
_cell_length_c 8.589
_cell_angle_alpha 90.00
_cell_angle_beta 118.55
_cell_angle_gamma 90.00
_space_group_name_H-M_alt 'C 1 2/m 1'
_space_group_IT_number 12
loop_
_space_group_symop_operation_xyz
'x,y,z'
'-x,-y,-z'
'-x,y,-z'
'x,-y,z'
'x+1/2,y+1/2,z'
'-x+1/2,-y+1/2,-z'
'-x+1/2,y+1/2,-z'
'x+1/2,-y+1/2,z'
loop_
_atom_site_label
_atom_site_fract_x
_atom_site_fract_y
_atom_site_fract_z
Rb1 0.204 0.000 0.186
Pm1 0.000 0.000 0.500
As1 0.047 0.500 0.189
S1 0.049 0.249 0.783
S2 0.248 0.500 0.394
```

Raw total energy: -99.793 eV per cell
M_tot: 0.00 Bohr magnetons per cell
Density: 3.29 Mg/m³
DOS(E_F): 7.0 states/eV/cell